SrCu2Ag: PBEsol geometry, meta-GGA SCAN.

a b c (Å): 4.7438 4.7438 4.7438
angles (deg): 60.00 60.00 60.00
Fractional positions:
Sr (0.0000, 0.0000, 0.0000)
Cu (0.2500, 0.2500, 0.2500)
Cu (0.7500, 0.7500, 0.7500)
Ag (0.5000, 0.5000, 0.5000)

Properties
ΔE to the lowest computed polymorph: 279 meV/atom
calculated density: 7.096 Mg/m³
formation energy from the elements: 209 meV per atom

---

SrCuAg: PBEsol geometry, meta-GGA SCAN.

a b c (Å): 4.4831 4.4831 4.0219
angles (deg): 90.00 90.00 120.00
Fractional positions:
Sr (0.0000, 0.0000, 0.0000)
Cu (0.6667, 0.3333, 0.5000)
Ag (0.3333, 0.6667, 0.5000)

Properties
calculated density: 6.145 Mg/m³
formation energy from the elements: -144 meV per atom

---

SrCu2Ag: PBEsol geometry, meta-GGA SCAN.

a b c (Å): 4.4613 4.4613 3.8557
angles (deg): 90.08 90.08 90.12
Fractional positions:
Sr (0.0000, 0.0000, 0.0000)
Cu (0.0000, 0.5000, 0.5000)
Cu (0.5000, 0.0000, 0.5000)
Ag (0.5000, 0.5000, 0.0000)

Properties
ΔE to the lowest computed polymorph: 406 meV/atom
calculated density: 6.980 Mg/m³
formation energy from the elements: 336 meV per atom

---

Sr2Cu2Ag: PBEsol geometry, meta-GGA SCAN.

a b c (Å): 7.5632 7.5632 4.1696
angles (deg): 90.00 90.00 90.00
Fractional positions:
Sr (0.1823, 0.3177, 0.0000)
Sr (0.3177, 0.8177, 0.0000)
Sr (0.6823, 0.1823, 0.0000)
Sr (0.8177, 0.6823, 0.0000)
Cu (0.1137, 0.6137, 0.5000)
Cu (0.3863, 0.1137, 0.5000)
Cu (0.6137, 0.8863, 0.5000)
Cu (0.8863, 0.3863, 0.5000)
Ag (0.0000, 0.0000, 0.5000)
Ag (0.5000, 0.5000, 0.5000)

Properties
calculated density: 5.712 Mg/m³
formation energy from the elements: -39 meV per atom

---

> Which of these has the highest calculated density?

number 1